[1]
Entry from the Alexandria database: a relaxed structure of Li3GaAu (PBE).

Summary:
space group	P2_1/m (11)
size of the total moment	0.00	Bohr magnetons per cell
DFT formation energy	-409.8	meV/atom
excess energy over the best structure of this formula in the dataset	0.0	kJ per mole of atoms

abc: 5.9668 4.1475 6.3615
angles: 90.00 92.55 90.00
Closest atoms and distances in Å follow each position.
Positions (direct):
Li  0.0455  0.2500  0.3473  6 Li 2.69-2.91, 3 Ga 2.70-2.89, 3 Au 2.70-2.73
Li  0.2578  0.2500  0.7393  3 Au 2.72-2.89, 6 Li 2.75-2.93, 3 Ga 2.79-2.96
Li  0.4482  0.2500  0.1725  4 Li 2.69-2.93, 3 Au 2.76-2.77, 3 Ga 2.86-2.88
Li  0.5518  0.7500  0.8275  4 Li 2.69-2.93, 3 Au 2.76-2.77, 3 Ga 2.86-2.88
Li  0.7422  0.7500  0.2607  3 Au 2.72-2.89, 6 Li 2.75-2.93, 3 Ga 2.79-2.96
Li  0.9545  0.7500  0.6527  6 Li 2.69-2.91, 3 Ga 2.70-2.89, 3 Au 2.70-2.73
Ga  0.1406  0.7500  0.0482  1 Au 2.66, 9 Li 2.70-2.96, 2 Ga 2.72
Ga  0.8594  0.2500  0.9518  1 Au 2.66, 9 Li 2.70-2.96, 2 Ga 2.72
Au  0.3328  0.7500  0.4337  1 Ga 2.66, 9 Li 2.70-2.89, 2 Au 2.97
Au  0.6672  0.2500  0.5663  1 Ga 2.66, 9 Li 2.70-2.89, 2 Au 2.97

---

[2]
Entry from the Alexandria database: a relaxed structure of Li8GaAu2 (PBE).

Summary:
space group	Immm (71)
size of the total moment	0.00	Bohr magnetons per cell
DFT formation energy	-330.7	meV/atom
excess energy over the best structure of this formula in the dataset	0.0	kJ per mole of atoms

abc: 7.0075 7.0075 7.0075
angles: 142.78 116.63 75.84
Closest atoms and distances in Å follow each position.
Positions (direct):
Li  0.1365  0.1365  0.0000  2 Ga 2.70, 2 Au 2.76, 5 Li 2.78-3.02
Li  0.1504  0.3496  0.8008  3 Au 2.65-2.78, 1 Ga 2.77, 4 Li 2.78-2.93
Li  0.3176  0.0000  0.3176  7 Li 2.69-2.79, 2 Au 2.75
Li  0.4511  0.6504  0.8008  3 Au 2.65-2.78, 1 Ga 2.77, 4 Li 2.78-2.93
Li  0.5489  0.3496  0.1992  3 Au 2.65-2.78, 1 Ga 2.77, 4 Li 2.78-2.93
Li  0.6824  0.0000  0.6824  7 Li 2.69-2.79, 2 Au 2.75
Li  0.8496  0.6504  0.1992  3 Au 2.65-2.78, 1 Ga 2.77, 4 Li 2.78-2.93
Li  0.8635  0.8635  0.0000  2 Ga 2.70, 2 Au 2.76, 5 Li 2.78-3.02
Ga  0.0000  0.5000  0.5000  8 Li 2.70-2.77
Au  0.2825  0.7825  0.5000  10 Li 2.65-2.78
Au  0.7175  0.2175  0.5000  10 Li 2.65-2.78

---

[3]
Entry from the Alexandria database: a relaxed structure of Li2Ga5Au3 (PBE).

Summary:
space group	Cmc2_1 (36)
size of the total moment	0.00	Bohr magnetons per cell
DFT formation energy	-327.5	meV/atom

abc: 11.8584 11.8584 7.4546
angles: 90.00 90.00 159.46
Closest atoms and distances in Å follow each position.
Positions (direct):
Li  0.0221  0.9779  0.5000  3 Au 2.80-2.87, 5 Ga 2.89-3.08
Li  0.3197  0.6803  0.5891  4 Au 2.92-3.00, 10 Ga 2.94-3.24
Li  0.6803  0.3197  0.0891  4 Au 2.92-3.00, 10 Ga 2.94-3.24
Li  0.9779  0.0221  0.0000  3 Au 2.80-2.87, 5 Ga 2.89-3.08
Ga  0.0992  0.9008  0.8788  1 Ga 2.57, 3 Au 2.63-2.72
Ga  0.2073  0.7927  0.4070  4 Au 2.60-2.66
Ga  0.2070  0.7930  0.8102  1 Ga 2.57, 3 Au 2.63-2.70
Ga  0.3826  0.6174  0.9712  4 Au 2.64-2.81
Ga  0.4454  0.5546  0.6100  4 Au 2.59-2.70, 2 Li 2.89
Ga  0.5546  0.4454  0.1100  4 Au 2.59-2.70, 2 Li 2.89
Ga  0.6174  0.3826  0.4712  4 Au 2.64-2.81
Ga  0.7930  0.2070  0.3102  1 Ga 2.57, 3 Au 2.63-2.70
Ga  0.7927  0.2073  0.9070  4 Au 2.60-2.66
Ga  0.9008  0.0992  0.3788  1 Ga 2.57, 3 Au 2.63-2.72
Au  0.1092  0.8908  0.2420  6 Ga 2.60-2.73, 1 Li 2.80
Au  0.2711  0.7289  0.1122  7 Ga 2.63-2.81
Au  0.4528  0.5472  0.2483  5 Ga 2.59-2.70, 2 Li 2.87
Au  0.5472  0.4528  0.7483  5 Ga 2.59-2.70, 2 Li 2.87
Au  0.7289  0.2711  0.6122  7 Ga 2.63-2.81
Au  0.8908  0.1092  0.7420  6 Ga 2.60-2.73, 1 Li 2.80